--- A ---
# Mg2TcW

Crystalline Mg2TcW at its relaxed geometry (PBE, the Alexandria database).

Output
The theoretical density comes out at 8.5 g/cm³. Its density of states at the Fermi level is 3.161 states/eV per cell. For the magnetic moment, the calculation gives 0.00 μB per formula unit.

Cell lengths 4.5110, 4.5110, 4.5110 Å; angles 120.08, 120.08, 89.86 degrees
Positions (direct):
Mg (0.0000, 0.0000, 0.0000)
Mg (0.2500, 0.7500, 0.5000)
W (0.7500, 0.2500, 0.5000)
Tc (0.5000, 0.5000, 0.0000)


--- B ---
# Mg2TcW

Crystalline Mg2TcW at its relaxed geometry (PBE, the Alexandria database).

Output
The theoretical density comes out at 8.1 g/cm³. Its density of states at the Fermi level is 1.802 states/eV per cell. For the magnetic moment, the calculation gives 0.00 μB per formula unit.

Cell lengths 4.4447, 2.7794, 5.5687 Å; angles 80.02, 90.00, 90.00 degrees
Positions (direct):
Mg (0.5000, 0.2678, 0.2552)
Mg (0.0000, 0.9968, 0.9972)
W (0.5000, 0.7018, 0.7248)
Tc (0.0000, 0.5335, 0.5227)


Which of them is most stable? Easy: B.


--- A ---
# MgTcW

Crystalline MgTcW at its relaxed geometry (PBE, the Alexandria database).

Output
The theoretical density comes out at 10.4 g/cm³. Its density of states at the Fermi level is 2.260 states/eV per cell. For the magnetic moment, the calculation gives 0.00 μB per formula unit.

Cell lengths 7.2628, 7.0752, 2.7581 Å; angles 82.76, 75.11, 22.13 degrees
Positions (direct):
Tc (0.6725, 0.6725, 0.3275)
Mg (0.0027, 0.0027, 0.9973)
W (0.3248, 0.3248, 0.6752)


--- B ---
# MgTcW

Crystalline MgTcW at its relaxed geometry (PBE, the Alexandria database).

Output
The theoretical density comes out at 10.7 g/cm³. Its density of states at the Fermi level is 2.076 states/eV per cell. For the magnetic moment, the calculation gives 0.00 μB per formula unit.

Cell lengths 4.4861, 4.4861, 2.7294 Å; angles 90.00, 90.00, 120.00 degrees
Positions (direct):
W (0.3333, 0.6667, 0.6151)
Mg (0.0000, 0.0000, 0.0128)
Tc (0.6667, 0.3333, 0.3721)


--- C ---
# MgTcW

Crystalline MgTcW at its relaxed geometry (PBE, the Alexandria database).

Output
The theoretical density comes out at 9.1 g/cm³. Its density of states at the Fermi level is 4.403 states/eV per cell. For the magnetic moment, the calculation gives 0.00 μB per formula unit.

Cell lengths 4.2981, 4.2981, 4.2981 Å; angles 60.00, 60.00, 60.00 degrees
Positions (direct):
Tc (0.2500, 0.2500, 0.2500)
W (0.0000, 0.0000, 0.0000)
Mg (0.5000, 0.5000, 0.5000)


Which of them is most stable? Easy: B.


--- A ---
# MgTcW

Crystalline MgTcW at its relaxed geometry (PBE, the Alexandria database).

Output
The theoretical density comes out at 10.6 g/cm³. Its density of states at the Fermi level is 1.810 states/eV per cell. For the magnetic moment, the calculation gives 0.00 μB per formula unit.

Cell lengths 4.7847, 4.7847, 4.7847 Å; angles 147.43, 124.78, 65.60 degrees
Positions (direct):
Tc (0.3362, 0.3362, 0.0000)
W (0.6638, 0.6638, 0.0000)
Mg (0.0000, 0.0000, 0.0000)


--- B ---
# MgTcW

Crystalline MgTcW at its relaxed geometry (PBE, the Alexandria database).

Output
The theoretical density comes out at 10.2 g/cm³. Its density of states at the Fermi level is 2.600 states/eV per cell. For the magnetic moment, the calculation gives 0.00 μB per formula unit.

Cell lengths 5.3899, 5.3899, 5.3899 Å; angles 145.58, 145.58, 49.48 degrees
Positions (direct):
Mg (0.9970, 0.9970, 0.0000)
W (0.6873, 0.6873, 0.0000)
Tc (0.3158, 0.3158, 0.0000)


Which of them is most stable? Easy: B.


--- A ---
# YMg2Tc

Crystalline YMg2Tc at its relaxed geometry (PBE, the Alexandria database).

Output
The theoretical density comes out at 4.7 g/cm³. Its density of states at the Fermi level is 3.267 states/eV per cell. For the magnetic moment, the calculation gives 0.00 μB per formula unit.

Cell lengths 5.9299, 5.9299, 3.0694 Å; angles 79.49, 79.49, 123.21 degrees
Positions (direct):
Tc (0.5000, 0.0000, 0.5000)
Y (0.0000, 0.5000, 0.5000)
Mg (0.5000, 0.5000, 0.0000)
Mg (0.0000, 0.0000, 0.0000)


--- B ---
# YMg2Tc

Crystalline YMg2Tc at its relaxed geometry (PBE, the Alexandria database).

Output
The theoretical density comes out at 4.6 g/cm³. Its density of states at the Fermi level is 4.022 states/eV per cell. For the magnetic moment, the calculation gives 0.00 μB per formula unit.

Cell lengths 4.5498, 3.1122, 6.2301 Å; angles 75.45, 90.00, 90.00 degrees
Positions (direct):
Mg (0.0000, 0.0404, 0.0488)
Mg (0.5000, 0.4445, 0.2451)
Y (0.5000, 0.7086, 0.7040)
Tc (0.0000, 0.3065, 0.5021)


Which of them is most stable? Easy: B.


--- A ---
# YMg2Tc2

Crystalline YMg2Tc2 at its relaxed geometry (PBE, the Alexandria database).

Output
The theoretical density comes out at 5.7 g/cm³. Its density of states at the Fermi level is 8.522 states/eV per cell. For the magnetic moment, the calculation gives 0.00 μB per formula unit.

Cell lengths 7.8971, 7.8971, 3.1428 Å; angles 90.00, 90.00, 90.00 degrees
Positions (direct):
Mg (0.1845, 0.6845, 0.5000)
Mg (0.6845, 0.8155, 0.5000)
Mg (0.3155, 0.1845, 0.5000)
Mg (0.8155, 0.3155, 0.5000)
Tc (0.6023, 0.1023, 0.0000)
Tc (0.1023, 0.3977, 0.0000)
Tc (0.3977, 0.8977, 0.0000)
Tc (0.8977, 0.6023, 0.0000)
Y (0.5000, 0.5000, 0.0000)
Y (0.0000, 0.0000, 0.0000)


--- B ---
# YMg2Tc2

Crystalline YMg2Tc2 at its relaxed geometry (PBE, the Alexandria database).

Output
The theoretical density comes out at 5.2 g/cm³. Its density of states at the Fermi level is 5.888 states/eV per cell. For the magnetic moment, the calculation gives 0.00 μB per formula unit.

Cell lengths 4.2349, 4.2349, 6.6260 Å; angles 71.36, 71.36, 90.00 degrees
Positions (direct):
Mg (0.2500, 0.7500, 0.5000)
Mg (0.7500, 0.2500, 0.5000)
Y (0.0000, 0.0000, 0.0000)
Tc (0.5925, 0.5925, 0.8151)
Tc (0.4075, 0.4075, 0.1849)


Which of them is most stable? Easy: A.


--- A ---
# Y3MgTc

Crystalline Y3MgTc at its relaxed geometry (PBE, the Alexandria database).

Output
The theoretical density comes out at 4.2 g/cm³. Its density of states at the Fermi level is 4.866 states/eV per cell. For the magnetic moment, the calculation gives 0.00 μB per formula unit.

Cell lengths 5.3759, 5.3759, 5.3759 Å; angles 90.00, 90.00, 90.00 degrees
Positions (direct):
Y (0.5000, 0.0000, 0.0000)
Y (0.0000, 0.0000, 0.5000)
Y (0.0000, 0.5000, 0.0000)
Tc (0.0000, 0.0000, 0.0000)
Mg (0.5000, 0.5000, 0.5000)


--- B ---
# Y3MgTc

Crystalline Y3MgTc at its relaxed geometry (PBE, the Alexandria database).

Output
The theoretical density comes out at 4.9 g/cm³. Its density of states at the Fermi level is 16.841 states/eV per cell. For the magnetic moment, the calculation gives 0.00 μB per formula unit.

Cell lengths 8.3927, 7.9108, 8.8937 Å; angles 90.00, 117.07, 90.00 degrees
Positions (direct):
Tc (0.4439, 0.2939, 0.8902)
Tc (0.0561, 0.7939, 0.1098)
Tc (0.9439, 0.2061, 0.8902)
Tc (0.5561, 0.7061, 0.1098)
Mg (0.2802, 0.9660, 0.6604)
Mg (0.2198, 0.4660, 0.3396)
Mg (0.7802, 0.5340, 0.6604)
Mg (0.7198, 0.0340, 0.3396)
Y (0.4104, 0.6005, 0.7366)
Y (0.8078, 0.4633, 0.0287)
Y (0.6922, 0.9633, 0.9713)
Y (0.0582, 0.2856, 0.6242)
Y (0.9418, 0.7144, 0.3758)
Y (0.5896, 0.3995, 0.2634)
Y (0.3078, 0.0367, 0.0287)
Y (0.5582, 0.2144, 0.6242)
Y (0.1922, 0.5367, 0.9713)
Y (0.9104, 0.8995, 0.7366)
Y (0.0896, 0.1005, 0.2634)
Y (0.4418, 0.7856, 0.3758)


Which of them is most stable? Easy: B.


--- A ---
# YMgTc

Crystalline YMgTc at its relaxed geometry (PBE, the Alexandria database).

Output
The theoretical density comes out at 5.0 g/cm³. Its density of states at the Fermi level is 4.335 states/eV per cell. For the magnetic moment, the calculation gives 0.00 μB per formula unit.

Cell lengths 4.3175, 5.4163, 6.4894 Å; angles 99.28, 109.43, 90.00 degrees
Positions (direct):
Y (0.1317, 0.3373, 0.2635)
Y (0.8683, 0.6627, 0.7365)
Mg (0.4235, 0.2208, 0.8470)
Mg (0.5765, 0.7792, 0.1530)
Tc (0.7759, 0.1028, 0.5517)
Tc (0.2241, 0.8972, 0.4483)


--- B ---
# YMgTc

Crystalline YMgTc at its relaxed geometry (PBE, the Alexandria database).

Output
The theoretical density comes out at 5.6 g/cm³. Its density of states at the Fermi level is 3.197 states/eV per cell. For the magnetic moment, the calculation gives 0.00 μB per formula unit.

Cell lengths 5.5730, 5.5730, 5.5730 Å; angles 143.05, 143.05, 53.25 degrees
Positions (direct):
Mg (0.9742, 0.9742, 0.0000)
Tc (0.3449, 0.3449, 0.0000)
Y (0.6809, 0.6809, 0.0000)


--- C ---
# YMgTc

Crystalline YMgTc at its relaxed geometry (PBE, the Alexandria database).

Output
The theoretical density comes out at 4.5 g/cm³. Its density of states at the Fermi level is 6.410 states/eV per cell. For the magnetic moment, the calculation gives 1.82 μB per formula unit.

Cell lengths 4.8004, 4.8004, 4.8004 Å; angles 60.00, 60.00, 60.00 degrees
Positions (direct):
Tc (0.5000, 0.5000, 0.5000)
Mg (0.0000, 0.0000, 0.0000)
Y (0.2500, 0.2500, 0.2500)


Which of them is most stable? Easy: A.


--- A ---
# YMgTc

Crystalline YMgTc at its relaxed geometry (PBE, the Alexandria database).

Output
The theoretical density comes out at 5.3 g/cm³. Its density of states at the Fermi level is 3.624 states/eV per cell. For the magnetic moment, the calculation gives 0.00 μB per formula unit.

Cell lengths 3.3302, 3.3302, 6.9541 Å; angles 90.00, 90.00, 120.00 degrees
Positions (direct):
Tc (0.6667, 0.3333, 0.3325)
Y (0.3333, 0.6667, 0.6216)
Mg (0.0000, 0.0000, 0.0459)


--- B ---
# YMgTc

Crystalline YMgTc at its relaxed geometry (PBE, the Alexandria database).

Output
The theoretical density comes out at 5.4 g/cm³. Its density of states at the Fermi level is 3.015 states/eV per cell. For the magnetic moment, the calculation gives 0.00 μB per formula unit.

Cell lengths 7.2769, 7.1055, 3.1191 Å; angles 80.57, 74.42, 25.01 degrees
Positions (direct):
Y (0.6878, 0.6878, 0.3122)
Mg (0.9773, 0.9773, 0.0227)
Tc (0.3349, 0.3349, 0.6651)


Which of them is most stable? Easy: B.